FeI3O: optimized geometry, GGA+U.

Cell: 5.515 5.515 5.515 Å, 90.00 90.00 90.00°
Atoms (fractional coordinates):
Fe1 0.000 0.000 0.000
I1 0.000 0.000 0.500
I2 0.000 0.500 0.000
I3 0.500 0.000 0.000
O1 0.500 0.500 0.500

The energy above the most stable polymorph in this dataset comes out at 0.09 eV/f.u. The value obtained for the total magnetization is 4.650 μB per formula unit. As for the density of states at the Fermi level: 3.966 states/eV/atom. The symmetry is No. 221.